This record from the Alexandria database describes an optimized crystal structure of Pr4HAu2. The functional is PBE.

Properties
DFT total energy ... -4.634 eV per atom

```
data_Pr4HAu2
_chemical_formula_sum 'Pr4 H1 Au2'
_cell_length_a 8.561
_cell_length_b 8.561
_cell_length_c 8.561
_cell_angle_alpha 147.15
_cell_angle_beta 147.15
_cell_angle_gamma 47.14
_symmetry_space_group_name_H-M 'P 1'
_symmetry_Int_Tables_number 1
_symmetry_space_group_name_Hall 'P 1'
loop_
_atom_site_label
_atom_site_fract_x
_atom_site_fract_y
_atom_site_fract_z
Pr1 0.000 0.500 0.500
Pr2 0.186 0.186 0.000
Pr3 0.500 0.000 0.500
Pr4 0.814 0.814 0.000
H1 0.000 0.000 0.000
Au1 0.370 0.370 0.000
Au2 0.630 0.630 0.000
```